A relaxed Ho5Hf3P8 crystal, computed with PBE.

Computed properties:
N(E_F) (states/eV/f.u.): 6.2
ΔE_f (eV per atom): -1.488

```
data_Ho5Hf3P8
_chemical_formula_sum 'Ho5 Hf3 P8'
_cell_length_a 7.750
_cell_length_b 7.750
_cell_length_c 7.750
_cell_angle_alpha 59.72
_cell_angle_beta 59.72
_cell_angle_gamma 59.72
_symmetry_space_group_name_H-M 'P 1'
_symmetry_Int_Tables_number 1
_symmetry_space_group_name_Hall 'P 1'
loop_
_atom_site_label
_atom_site_type_symbol
_atom_site_fract_x
_atom_site_fract_y
_atom_site_fract_z
_atom_site_occupancy
Ho1 Ho 0.000 0.000 0.000 1
Ho2 Ho 0.000 0.500 0.500 1
Ho3 Ho 0.500 0.000 0.500 1
Ho4 Ho 0.500 0.500 0.000 1
Ho5 Ho 0.500 0.500 0.500 1
Hf1 Hf 0.000 0.000 0.500 1
Hf2 Hf 0.000 0.500 0.000 1
Hf3 Hf 0.500 0.000 0.000 1
P1 P 0.238 0.750 0.750 1
P2 P 0.244 0.244 0.244 1
P3 P 0.250 0.250 0.762 1
P4 P 0.250 0.762 0.250 1
P5 P 0.750 0.238 0.750 1
P6 P 0.750 0.750 0.238 1
P7 P 0.756 0.756 0.756 1
P8 P 0.762 0.250 0.250 1
```

=====

A relaxed SrAlBi3 crystal, computed with PBE.

Computed properties:
N(E_F) (states/eV/f.u.): 3.8
ΔE_f (eV per atom): 0.818
Polymorph energy (0 for the lowest one) (eV/atom): 0.8196

```
data_SrAlBi3
_chemical_formula_sum 'Sr1 Al1 Bi3'
_cell_length_a 6.112
_cell_length_b 6.112
_cell_length_c 6.112
_cell_angle_alpha 90.00
_cell_angle_beta 90.00
_cell_angle_gamma 90.00
_symmetry_space_group_name_H-M 'P 1'
_symmetry_Int_Tables_number 1
_symmetry_space_group_name_Hall 'P 1'
loop_
_atom_site_label
_atom_site_type_symbol
_atom_site_fract_x
_atom_site_fract_y
_atom_site_fract_z
_atom_site_occupancy
Sr1 Sr 0.000 0.000 0.000 1
Al1 Al 0.500 0.500 0.500 1
Bi1 Bi 0.000 0.000 0.500 1
Bi2 Bi 0.000 0.500 0.000 1
Bi3 Bi 0.500 0.000 0.000 1
```

=====

A relaxed BaLiTcGe2 crystal, computed with PBE.

Computed properties:
N(E_F) (states/eV/f.u.): 2.1
ΔE_f (eV per atom): -0.236

```
data_BaLiTcGe2
_chemical_formula_sum 'Ba1 Li1 Tc1 Ge2'
_cell_length_a 4.830
_cell_length_b 4.830
_cell_length_c 5.096
_cell_angle_alpha 90.00
_cell_angle_beta 90.00
_cell_angle_gamma 90.00
_symmetry_space_group_name_H-M 'P 1'
_symmetry_Int_Tables_number 1
_symmetry_space_group_name_Hall 'P 1'
loop_
_atom_site_label
_atom_site_type_symbol
_atom_site_fract_x
_atom_site_fract_y
_atom_site_fract_z
_atom_site_occupancy
Ba1 Ba 0.000 0.000 0.000 1
Li1 Li 0.500 0.500 0.000 1
Tc1 Tc 0.500 0.500 0.500 1
Ge1 Ge 0.000 0.500 0.500 1
Ge2 Ge 0.500 0.000 0.500 1
```